## Pm3Nd12Tm (PBE)

Data for Pm3Nd12Tm after structural relaxation.

Results
Calculated formation energy (eV/atom): 0.013

The structure in CIF format:
```
data_Pm3Nd12Tm
_symmetry_space_group_name_H-M 'P 4/m m m'
_symmetry_Int_Tables_number 123
_symmetry_space_group_name_Hall '-P 4 2'
_cell_length_a 5.1798
_cell_length_b 5.1798
_cell_length_c 20.6941
_cell_angle_alpha 90.00
_cell_angle_beta 90.00
_cell_angle_gamma 90.00
loop_
_atom_site_label
_atom_site_fract_x
_atom_site_fract_y
_atom_site_fract_z
_atom_site_occupancy
Pm1 0.0000 0.0000 0.0000 1
Pm2 0.0000 0.0000 0.2513 1
Nd1 0.0000 0.5000 0.1256 1
Nd2 0.0000 0.5000 0.3769 1
Nd3 0.5000 0.5000 0.0000 1
Nd4 0.5000 0.5000 0.2516 1
Nd5 0.5000 0.5000 0.5000 1
Tm1 0.0000 0.0000 0.5000 1
```

***

## Pm2Nd3Tm6 (PBE)

Data for Pm2Nd3Tm6 after structural relaxation.

Results
Offset from the most stable computed form (meV/atom): 0
Calculated formation energy (eV/atom): 0.192

The structure in CIF format:
```
data_Pm2Nd3Tm6
_symmetry_space_group_name_H-M 'C 1 2/m 1'
_symmetry_Int_Tables_number 12
_cell_length_a 6.1434
_cell_length_b 10.6570
_cell_length_c 11.6067
_cell_angle_alpha 90.00
_cell_angle_beta 100.21
_cell_angle_gamma 90.00
loop_
_symmetry_equiv_pos_as_xyz
'x,y,z'
'-x,-y,-z'
'-x,y,-z'
'x,-y,z'
'x+1/2,y+1/2,z'
'-x+1/2,-y+1/2,-z'
'-x+1/2,y+1/2,-z'
'x+1/2,-y+1/2,z'
loop_
_atom_site_label
_atom_site_fract_x
_atom_site_fract_y
_atom_site_fract_z
_atom_site_occupancy
Pm1 0.0000 0.1666 0.0000 1
Nd1 0.0000 0.0000 0.5000 1
Nd2 0.0000 0.3359 0.5000 1
Tm1 0.2494 0.3335 0.2488 1
Tm2 0.2503 0.0000 0.2489 1
```

***

no.,total energy (eV per atom)
1,-4.73
2,-4.41